(one)
First-principles (GGA-PBE) data for a relaxed structure of Sc6CoNi, as listed in Alexandria via LeMat-Bulk.

Computed properties:
Total magnetization   0.00 μB per cell

abc: 6.082 10.080 6.089
angles: 90.00 110.06 90.00
Space group C2/m (No. 12)
Symmetry-distinct sites (fractional):
Sc (0.245, 0.178, 0.246) [8 per cell]
Sc (0.248, 0.000, 0.754) [4 per cell]
Co (0.000, 0.000, 0.000) [2 per cell]
Ni (0.000, 0.500, 0.500) [2 per cell]



(two)
First-principles (GGA-PBE) data for a relaxed structure of Sc6CoNi, as listed in Alexandria via LeMat-Bulk.

Computed properties:
Total magnetization   2.05 μB per cell

abc: 4.524 4.524 15.884
angles: 90.00 90.00 90.00
Space group I4/mmm (No. 139)
Symmetry-distinct sites (fractional):
Sc (0.000, 0.000, 0.248) [4 per cell]
Sc (0.000, 0.500, 0.095) [8 per cell]
Co (0.000, 0.000, 0.000) [2 per cell]
Ni (0.000, 0.000, 0.500) [2 per cell]



Quick one: least stable of them? (one)



(one)
First-principles (GGA-PBE) data for a relaxed structure of Sc2CoNi3, as listed in Alexandria via LeMat-Bulk.

Computed properties:
Total magnetization   0.77 μB per cell

abc: 4.8713 4.8713 8.0080
angles: 90.00 90.00 120.00
Space group P6_3/mmc (No. 194)
Symmetry-distinct sites (fractional):
Sc (0.3333, 0.6667, 0.0636) [4 per cell]
Co (0.0000, 0.0000, 0.0000) [2 per cell]
Ni (0.1671, 0.3341, 0.7500) [6 per cell]



(two)
First-principles (GGA-PBE) data for a relaxed structure of Sc2CoNi3, as listed in Alexandria via LeMat-Bulk.

Computed properties:
Total magnetization   0.99 μB per cell

abc: 4.8627 4.8627 12.0179
angles: 90.00 90.00 120.00
Space group R-3m (No. 166, hexagonal axes)
Symmetry-distinct sites (fractional):
Sc (0.0000, 0.0000, 0.1257) [6 per cell]
Co (0.0000, 0.0000, 0.5000) [3 per cell]
Ni (0.0000, 0.5000, 0.0000) [9 per cell]



Quick one: least stable of them? (one)